Model A:
VASP calculation (GGA-PBE) on ZnSb2As after structural relaxation.

Lattice parameters (Å, degrees): 7.129 7.129 7.129 90.00 90.00 90.00
Sites, in units of the cell vectors:
Zn (0.000, 0.000, 0.000)
Zn (0.000, 0.500, 0.500)
Zn (0.500, 0.000, 0.500)
Zn (0.500, 0.500, 0.000)
Sb (0.250, 0.250, 0.250)
Sb (0.250, 0.250, 0.750)
Sb (0.250, 0.750, 0.250)
Sb (0.250, 0.750, 0.750)
Sb (0.750, 0.250, 0.250)
Sb (0.750, 0.250, 0.750)
Sb (0.750, 0.750, 0.250)
Sb (0.750, 0.750, 0.750)
As (0.000, 0.000, 0.500)
As (0.000, 0.500, 0.000)
As (0.500, 0.000, 0.000)
As (0.500, 0.500, 0.500)

Computed properties:
SG   Fm-3m (225)



Model B:
VASP calculation (GGA-PBE) on ZnSb2As after structural relaxation.

Lattice parameters (Å, degrees): 12.273 3.898 4.325 90.00 109.39 90.00
Sites, in units of the cell vectors:
Zn (0.000, 0.000, 0.000)
Zn (0.500, 0.500, 0.000)
Sb (0.249, 0.500, 0.789)
Sb (0.487, 0.000, 0.488)
Sb (0.749, 0.000, 0.789)
Sb (0.987, 0.500, 0.488)
As (0.230, 0.000, 0.204)
As (0.730, 0.500, 0.204)

Computed properties:
SG   Cm (8)



Name the least stable of them. model A.



Model A:
VASP calculation (GGA-PBE) on ZnSb2As after structural relaxation.

Lattice parameters (Å, degrees): 3.101 5.644 5.794 90.00 105.24 90.00
Sites, in units of the cell vectors:
Zn (0.000, 0.000, 0.000)
Sb (0.017, 0.500, 0.052)
Sb (0.251, 0.000, 0.541)
As (0.244, 0.500, 0.528)

Computed properties:
SG   Pm (6)



Model B:
VASP calculation (GGA-PBE) on ZnSb2As after structural relaxation.

Lattice parameters (Å, degrees): 3.641 4.922 5.032 90.00 90.00 90.00
Sites, in units of the cell vectors:
Zn (0.000, 0.000, 0.000)
Sb (0.500, 0.000, 0.500)
Sb (0.500, 0.500, 0.000)
As (0.000, 0.500, 0.500)

Computed properties:
SG   Pmmm (47)



Name the least stable of them. model B.



Model A:
VASP calculation (GGA-PBE) on ZnSb2As after structural relaxation.

Lattice parameters (Å, degrees): 4.405 4.405 9.578 90.00 90.00 90.00
Sites, in units of the cell vectors:
Zn (0.000, 0.000, 0.000)
Zn (0.500, 0.500, 0.500)
Sb (0.000, 0.000, 0.500)
Sb (0.000, 0.500, 0.250)
Sb (0.500, 0.000, 0.750)
Sb (0.500, 0.500, 0.000)
As (0.000, 0.500, 0.750)
As (0.500, 0.000, 0.250)

Computed properties:
SG   I-4m2 (119)



Model B:
VASP calculation (GGA-PBE) on ZnSb2As after structural relaxation.

Lattice parameters (Å, degrees): 6.925 3.999 7.302 90.00 108.53 90.00
Sites, in units of the cell vectors:
Zn (0.000, 0.000, 0.000)
Zn (0.500, 0.500, 0.000)
Sb (0.248, 0.500, 0.244)
Sb (0.252, 0.000, 0.756)
Sb (0.748, 0.000, 0.244)
Sb (0.752, 0.500, 0.756)
As (0.000, 0.500, 0.500)
As (0.500, 0.000, 0.500)

Computed properties:
SG   C2/m (12)



Model C:
VASP calculation (GGA-PBE) on ZnSb2As after structural relaxation.

Lattice parameters (Å, degrees): 3.040 3.997 8.115 90.00 98.95 90.00
Sites, in units of the cell vectors:
Zn (0.000, 0.000, 0.000)
Sb (0.111, 0.500, 0.761)
Sb (0.889, 0.500, 0.239)
As (0.000, 0.000, 0.500)

Computed properties:
SG   P2/m (10)



Name the least stable of them. model A.



Model A:
VASP calculation (GGA-PBE) on Zn2Sb2As after structural relaxation.

Lattice parameters (Å, degrees): 3.782 3.782 15.495 90.00 90.00 90.00
Sites, in units of the cell vectors:
Zn (0.000, 0.500, 0.250)
Zn (0.000, 0.500, 0.750)
Zn (0.500, 0.000, 0.250)
Zn (0.500, 0.000, 0.750)
Sb (0.000, 0.000, 0.107)
Sb (0.000, 0.000, 0.893)
Sb (0.500, 0.500, 0.393)
Sb (0.500, 0.500, 0.607)
As (0.000, 0.000, 0.500)
As (0.500, 0.500, 0.000)

Computed properties:
SG   I4/mmm (139)



Model B:
VASP calculation (GGA-PBE) on Zn2Sb2As after structural relaxation.

Lattice parameters (Å, degrees): 7.403 7.403 3.945 90.00 90.00 90.00
Sites, in units of the cell vectors:
Zn (0.121, 0.379, 0.000)
Zn (0.379, 0.879, 0.000)
Zn (0.621, 0.121, 0.000)
Zn (0.879, 0.621, 0.000)
Sb (0.190, 0.690, 0.500)
Sb (0.310, 0.190, 0.500)
Sb (0.690, 0.810, 0.500)
Sb (0.810, 0.310, 0.500)
As (0.000, 0.000, 0.000)
As (0.500, 0.500, 0.000)

Computed properties:
SG   P4/mbm (127)



Name the least stable of them. model B.



Model A:
VASP calculation (GGA-PBE) on Zn3SbAs after structural relaxation.

Lattice parameters (Å, degrees): 4.872 4.872 4.872 90.00 90.00 90.00
Sites, in units of the cell vectors:
Zn (0.000, 0.000, 0.500)
Zn (0.000, 0.500, 0.000)
Zn (0.500, 0.000, 0.000)
Sb (0.500, 0.500, 0.500)
As (0.000, 0.000, 0.000)

Computed properties:
SG   Pm-3m (221)



Model B:
VASP calculation (GGA-PBE) on Zn3SbAs after structural relaxation.

Lattice parameters (Å, degrees): 5.154 5.154 5.154 90.00 90.00 90.00
Sites, in units of the cell vectors:
Zn (0.000, 0.000, 0.500)
Zn (0.000, 0.500, 0.000)
Zn (0.500, 0.000, 0.000)
Sb (0.000, 0.000, 0.000)
As (0.500, 0.500, 0.500)

Computed properties:
SG   Pm-3m (221)



Name the least stable of them. model B.



Model A:
VASP calculation (GGA-PBE) on Zn2SbAs2 after structural relaxation.

Lattice parameters (Å, degrees): 3.878 3.878 13.707 90.00 90.00 90.00
Sites, in units of the cell vectors:
Zn (0.000, 0.500, 0.250)
Zn (0.000, 0.500, 0.750)
Zn (0.500, 0.000, 0.250)
Zn (0.500, 0.000, 0.750)
Sb (0.000, 0.000, 0.000)
Sb (0.500, 0.500, 0.500)
As (0.000, 0.000, 0.379)
As (0.000, 0.000, 0.621)
As (0.500, 0.500, 0.121)
As (0.500, 0.500, 0.879)

Computed properties:
SG   I4/mmm (139)



Model B:
VASP calculation (GGA-PBE) on Zn2SbAs2 after structural relaxation.

Lattice parameters (Å, degrees): 4.065 4.065 12.356 90.00 90.00 90.00
Sites, in units of the cell vectors:
Zn (0.000, 0.000, 0.100)
Zn (0.000, 0.000, 0.900)
Zn (0.500, 0.500, 0.400)
Zn (0.500, 0.500, 0.600)
Sb (0.000, 0.000, 0.500)
Sb (0.500, 0.500, 0.000)
As (0.000, 0.500, 0.250)
As (0.000, 0.500, 0.750)
As (0.500, 0.000, 0.250)
As (0.500, 0.000, 0.750)

Computed properties:
SG   I4/mmm (139)



Model C:
VASP calculation (GGA-PBE) on Zn2SbAs2 after structural relaxation.

Lattice parameters (Å, degrees): 8.289 8.289 3.086 90.00 90.00 90.00
Sites, in units of the cell vectors:
Zn (0.105, 0.395, 0.000)
Zn (0.395, 0.895, 0.000)
Zn (0.605, 0.105, 0.000)
Zn (0.895, 0.605, 0.000)
Sb (0.000, 0.000, 0.500)
Sb (0.500, 0.500, 0.500)
As (0.214, 0.714, 0.500)
As (0.286, 0.214, 0.500)
As (0.714, 0.786, 0.500)
As (0.786, 0.286, 0.500)

Computed properties:
SG   P4/mbm (127)



Name the least stable of them. model B.